Material: MnCo2TeO6
Method: DFT, PBE with a Hubbard U
State: relaxed

Cell: 6.201 6.176 6.245 Å, 89.61 90.15 90.28°
Fractional positions:
Mn 0.953 0.437 0.252
Mn 0.253 0.950 0.435
Co 0.437 0.257 0.948
Co 0.049 0.564 0.744
Co 0.743 0.053 0.569
Co 0.562 0.744 0.053
Te 0.504 0.501 0.505
Te 0.998 0.000 0.996
O 0.950 0.085 0.293
O 0.299 0.952 0.081
O 0.094 0.300 0.946
O 0.037 0.912 0.698
O 0.697 0.050 0.911
O 0.908 0.699 0.040
O 0.202 0.573 0.448
O 0.438 0.199 0.578
O 0.560 0.438 0.203
O 0.802 0.419 0.569
O 0.577 0.799 0.427
O 0.436 0.566 0.804

- symmetry = No. 1
- theoretical density (g/cm3) = 5.505
- polymorph energy (0 for the lowest one) (eV/atom) = 0.000